DFT (GGA-PBE) results for an optimized crystal structure of DyMg2SiPd2. Values from VASP.

Cell and atoms, written as Quantum ESPRESSO input:
```
&SYSTEM
  ibrav = 0, nat = 6, ntyp = 4
/
ATOMIC_SPECIES
Mg 24.30 Mg.upf
Pd 106.42 Pd.upf
Dy 162.50 Dy.upf
Si 28.09 Si.upf
CELL_PARAMETERS angstrom
-1.577 -3.343 -3.375
4.737 -0.837 -1.385
-1.198 -1.752 6.008
ATOMIC_POSITIONS crystal
Mg 0.250 0.750 0.500
Mg 0.750 0.250 0.500
Pd 0.785 0.785 0.570
Pd 0.215 0.215 0.430
Dy 0.500 0.500 0.000
Si 0.000 0.000 0.000
```

Summary:
* total magnetic moment: 0.00 μB/cell
* SG: I4/mmm (139)
* energy relative to the elements, uncorrected: -1.733 eV/f.u.